# KNdPdS4

A relaxed KNdPdS4 crystal (PBE, OQMD via LeMat-Bulk).

```
14
Lattice="7.184 0.000 0.000 0.000 5.522 0.000 -2.431 0.000 8.905" Properties=species:S:1:pos:R:3 pbc="T T T"
K 4.176 0.091 4.894
S 6.297 2.968 0.466
S 5.190 2.885 5.944
S -0.437 0.124 2.960
S 3.436 4.051 2.074
Nd 5.423 0.237 0.559
Pd 3.216 2.562 7.150
S -1.543 0.207 8.438
K 0.577 2.852 4.011
S 3.102 1.933 1.827
Nd -0.670 2.997 8.345
S 1.317 1.290 6.831
Pd 1.537 5.323 1.754
S 1.651 4.694 7.077
```

Properties
Total DFT energy (no corrections) ... -68.30 eV/cell
Magnetization ... 0.1 μB per cell

---

# NaCuSn

A relaxed NaCuSn crystal (PBE, OQMD via LeMat-Bulk).

```
3
Lattice="0.000 3.206 3.206 3.206 0.000 3.206 3.206 3.206 0.000" Properties=species:S:1:pos:R:3 pbc="T T T"
Na 1.603 1.603 1.603
Sn 4.809 4.809 4.809
Cu 0.000 0.000 0.000
```

Properties
Total DFT energy (no corrections) ... -8.80 eV/cell

---

# CsNiC3S3N3

A relaxed CsNiC3S3N3 crystal (PBE, OQMD via LeMat-Bulk).

```
44
Lattice="-3.059 -4.593 -0.353 8.726 -6.389 7.524 -4.032 6.765 10.420" Properties=species:S:1:pos:R:3 pbc="T T T"
Ni 0.000 0.000 0.000
N 1.119 -3.703 8.448
N 0.516 -0.514 9.144
Ni -3.545 1.086 5.034
S -1.538 -4.115 1.601
Ni 2.347 0.188 8.972
Ni 2.833 -5.491 3.586
S -0.430 -0.916 14.971
C 1.177 0.812 12.020
N 2.440 -2.764 16.536
N 0.118 1.022 12.501
C 5.299 -3.972 4.744
C -1.122 -2.571 1.289
N 5.142 -3.308 12.304
C -5.042 0.906 7.778
Cs 2.111 -2.663 13.078
C -3.664 -0.245 12.848
N -3.507 -0.909 5.287
S -1.018 -4.705 6.199
S 3.331 -2.124 9.179
C 0.458 -5.028 5.572
N -0.805 -1.453 1.056
S 7.125 -4.692 8.300
C -0.417 -1.181 8.845
C 5.583 -2.273 11.937
S -5.490 0.476 9.292
N -2.667 0.383 12.960
N 1.517 -5.239 5.091
S 2.065 -3.301 2.621
S 3.138 -5.435 11.099
N 4.302 -4.599 4.631
S 2.653 0.488 11.393
N 6.318 -5.424 10.899
C 2.052 -3.036 8.747
C -3.948 -1.943 5.655
C 2.757 -1.646 16.303
S -1.502 1.218 6.492
Cs 3.759 -5.776 7.551
Cs -0.476 -1.553 4.514
C 6.677 -5.122 9.814
Cs -2.124 1.560 10.041
S -1.696 -2.092 8.413
S 3.173 -0.101 15.991
N -4.683 1.207 6.693
```

Properties
Total DFT energy (no corrections) ... -286.82 eV/cell
Magnetization ... 8.0 μB per cell

---

# Cd2MoW

A relaxed Cd2MoW crystal (PBE, OQMD via LeMat-Bulk).

```
4
Lattice="0.000 3.288 3.288 3.288 0.000 3.288 3.288 3.288 0.000" Properties=species:S:1:pos:R:3 pbc="T T T"
Cd 1.644 1.644 1.644
W 4.932 4.932 4.932
Mo 3.288 3.288 3.288
Cd 0.000 0.000 0.000
```

Properties
Energy of formation from the pure elements ... 0.68 eV/atom
Magnetization ... 0.0 μB per cell

---

# Tb2TlIn3

A relaxed Tb2TlIn3 crystal (PBE, OQMD via LeMat-Bulk).

```
6
Lattice="-6.797 3.329 0.197 4.218 -5.160 -3.592 -1.537 -3.313 2.954" Properties=species:S:1:pos:R:3 pbc="T T T"
In -0.769 -1.657 1.477
In -4.010 -1.067 0.451
In -0.105 -4.077 -0.892
Tb -5.089 2.013 -0.391
Tl -1.289 -0.915 -1.697
Tb 2.511 -3.844 -3.004
```

Properties
Magnetization ... 0.0 μB per cell
Energy above the most stable polymorph in this dataset ... 0.0 meV/atom

---

# LaPr3P4

A relaxed LaPr3P4 crystal (PBE, OQMD via LeMat-Bulk).

```
8
Lattice="4.219 -5.966 0.000 4.219 5.966 0.000 0.000 0.000 4.220" Properties=species:S:1:pos:R:3 pbc="T T T"
P 4.219 2.975 2.110
Pr 2.110 2.983 0.000
Pr 2.110 -2.983 0.000
P 4.219 -2.975 2.110
Pr 4.219 0.000 2.110
P 2.122 0.000 0.000
La 0.000 0.000 2.110
P 6.316 0.000 0.000
```

Properties
Total DFT energy (no corrections) ... -53.16 eV/cell
Magnetization ... 0.0 μB per cell